# BeTlTe2N, relaxed, DFT GGA-PBE
# - total energy (eV per cell) = -11.78
# - size of the total moment (Bohr magnetons per cell) = 2.64
# - ΔE to the lowest computed polymorph (kJ per mole of atoms) = 146.13
data_BeTlTe2N
_cell_length_a 5.9218
_cell_length_b 5.9218
_cell_length_c 4.6672
_cell_angle_alpha 90.00
_cell_angle_beta 90.00
_cell_angle_gamma 90.00
_space_group_name_H-M_alt 'P 4/m m m'
_space_group_IT_number 123
_space_group_name_Hall '-P 4 2'
loop_
_atom_site_label
_atom_site_type_symbol
_atom_site_fract_x
_atom_site_fract_y
_atom_site_fract_z
Be1 Be 0.0000 0.0000 0.0000
Tl1 Tl 0.0000 0.0000 0.5000
Te1 Te 0.0000 0.5000 0.5000
N1 N 0.5000 0.5000 0.0000